(1)
An optimized crystal structure of Tl2AgC, computed with PBE-GGA.

Cell lengths 4.881, 4.881, 4.881 Å; angles 60.00, 60.00, 60.00 degrees
Fractional coordinates of all 4 atoms:
Tl: 0.250 0.250 0.250
Tl: 0.750 0.750 0.750
C: 0.000 0.000 0.000
Ag: 0.500 0.500 0.500

E above lowest polymorph: 263 meV per atom

(2)
An optimized crystal structure of Y2TlAgC, computed with PBE-GGA.

Cell lengths 4.937, 4.937, 4.442 Å; angles 90.00, 90.00, 90.00 degrees
Fractional coordinates of all 5 atoms:
Y: 0.000 0.500 0.000
Y: 0.500 0.000 0.000
Tl: 0.500 0.500 0.500
C: 0.000 0.000 0.000
Ag: 0.000 0.000 0.500

(3)
An optimized crystal structure of Tm12Ag3C5, computed with PBE-GGA.

Cell lengths 13.404, 13.404, 13.404 Å; angles 109.47, 109.47, 109.47 degrees
Fractional coordinates of all 80 atoms:
C: 0.125 0.375 0.250
C: 0.000 0.500 0.000
C: 0.000 0.000 0.000
C: 0.375 0.250 0.125
C: 0.500 0.000 0.500
C: 0.500 0.500 0.000
C: 0.125 0.750 0.375
C: 0.750 0.125 0.875
C: 0.750 0.625 0.375
C: 0.375 0.125 0.750
C: 0.625 0.875 0.250
C: 0.500 0.500 0.500
C: 0.500 0.000 0.000
C: 0.000 0.000 0.500
C: 0.250 0.375 0.625
C: 0.250 0.875 0.125
C: 0.000 0.500 0.500
C: 0.875 0.250 0.625
C: 0.625 0.750 0.875
C: 0.875 0.625 0.750
Tm: 0.701 0.115 0.019
Tm: 0.318 0.519 0.404
Tm: 0.981 0.385 0.299
Tm: 0.519 0.201 0.115
Tm: 0.586 0.701 0.682
Tm: 0.981 0.596 0.182
Tm: 0.318 0.799 0.414
Tm: 0.096 0.914 0.115
Tm: 0.596 0.981 0.682
Tm: 0.701 0.586 0.182
Tm: 0.799 0.481 0.385
Tm: 0.818 0.904 0.019
Tm: 0.115 0.701 0.519
Tm: 0.385 0.404 0.086
Tm: 0.086 0.904 0.385
Tm: 0.414 0.115 0.596
Tm: 0.086 0.182 0.201
Tm: 0.481 0.682 0.096
Tm: 0.818 0.914 0.299
Tm: 0.115 0.414 0.096
Tm: 0.385 0.981 0.799
Tm: 0.596 0.615 0.414
Tm: 0.904 0.818 0.519
Tm: 0.799 0.318 0.914
Tm: 0.404 0.385 0.586
Tm: 0.096 0.182 0.481
Tm: 0.201 0.682 0.086
Tm: 0.182 0.086 0.701
Tm: 0.615 0.019 0.201
Tm: 0.885 0.586 0.904
Tm: 0.519 0.318 0.904
Tm: 0.586 0.885 0.404
Tm: 0.914 0.818 0.799
Tm: 0.914 0.096 0.615
Tm: 0.885 0.299 0.481
Tm: 0.182 0.096 0.981
Tm: 0.615 0.596 0.914
Tm: 0.404 0.019 0.318
Tm: 0.299 0.414 0.818
Tm: 0.201 0.519 0.615
Tm: 0.904 0.086 0.885
Tm: 0.682 0.201 0.586
Tm: 0.481 0.799 0.885
Tm: 0.019 0.404 0.818
Tm: 0.414 0.299 0.318
Tm: 0.019 0.615 0.701
Tm: 0.682 0.481 0.596
Tm: 0.299 0.885 0.981
Ag: 0.750 0.375 0.125
Ag: 0.875 0.750 0.125
Ag: 0.375 0.750 0.625
Ag: 0.250 0.125 0.375
Ag: 0.875 0.125 0.250
Ag: 0.375 0.625 0.250
Ag: 0.625 0.375 0.750
Ag: 0.125 0.875 0.750
Ag: 0.750 0.875 0.625
Ag: 0.625 0.250 0.375
Ag: 0.125 0.250 0.875
Ag: 0.250 0.625 0.875

(4)
An optimized crystal structure of Tm2Ag2C, computed with PBE-GGA.

Cell lengths 3.504, 3.504, 9.675 Å; angles 79.57, 79.57, 60.00 degrees
Fractional coordinates of all 5 atoms:
Tm: 0.380 0.380 0.859
Tm: 0.620 0.620 0.141
Ag: 0.869 0.869 0.392
Ag: 0.131 0.131 0.608
C: 0.000 0.000 0.000

It is found that the Fermi-level density of states values, taken in the order of the records, are 0.38; 0.60; 0.66; 0.38 states/eV per atom.
It is found that the ΔH_f (0 K) values, taken in the order of the records, are 1.3845; -0.1410; -0.1268; -0.2196 eV per atom.
It is found that the calculated total energy values, taken in the order of the records, are -0.2071; -0.4127; -0.4074; -0.3670 Ry/atom.